--- A ---
Compound: MoOs2I2
Source: Alexandria via LeMat-Bulk
Functional: PBE-GGA
Structure: relaxed

Cell: 10.3097 10.3097 10.3097 Å, 160.81 160.81 27.27°
With the nearest neighbours (Å) after each atom.
Fractional coordinates of all 5 atoms:
1 Mo 0.0000 0.0000 0.0000  8 I 2.97
2 Os 0.2500 0.7500 0.5000  4 Os 2.43
3 Os 0.7500 0.2500 0.5000  4 Os 2.43
4 I 0.4152 0.4152 0.0000  4 Mo 2.97
5 I 0.5848 0.5848 0.0000  4 Mo 2.97

Symmetry: No. 139
Total magnetization in μB per formula unit: 0.0



--- B ---
Compound: MoOs2I2
Source: Alexandria via LeMat-Bulk
Functional: PBE-GGA
Structure: relaxed

Cell: 7.6624 7.6624 3.1859 Å, 90.00 90.00 90.00°
With the nearest neighbours (Å) after each atom.
Fractional coordinates of all 10 atoms:
1 Mo 0.0000 0.0000 0.0000  4 I 2.87, 2 Mo 3.19
2 Mo 0.5000 0.5000 0.0000  4 I 2.87, 2 Mo 3.19
3 Os 0.1429 0.3571 0.5000  6 I 2.65-2.83
4 Os 0.3571 0.8571 0.5000  6 I 2.65-2.83
5 Os 0.6429 0.1429 0.5000  6 I 2.65-2.83
6 Os 0.8571 0.6429 0.5000  6 I 2.65-2.83
7 I 0.1619 0.6619 0.0000  6 Os 2.65-2.83, 2 Mo 2.87
8 I 0.3381 0.1619 0.0000  6 Os 2.65-2.83, 2 Mo 2.87
9 I 0.6619 0.8381 0.0000  6 Os 2.65-2.83, 2 Mo 2.87
10 I 0.8381 0.3381 0.0000  6 Os 2.65-2.83, 2 Mo 2.87

Symmetry: No. 127
Total magnetization in μB per formula unit: 0.0



A takes first place; second place is 38.9 kJ/mol of atoms up.



--- A ---
Compound: MoOs3I
Source: Alexandria via LeMat-Bulk
Functional: PBE-GGA
Structure: relaxed

Cell: 4.7791 4.7791 4.7791 Å, 90.00 90.00 90.00°
With the nearest neighbours (Å) after each atom.
Fractional coordinates of all 5 atoms:
1 Mo 0.0000 0.0000 0.0000  6 Os 2.39
2 Os 0.0000 0.0000 0.5000  2 Mo 2.39
3 Os 0.0000 0.5000 0.0000  2 Mo 2.39
4 Os 0.5000 0.0000 0.0000  2 Mo 2.39
5 I 0.5000 0.5000 0.5000  12 Os 3.38

Symmetry: No. 221
Total magnetization in μB per formula unit: 3.1



--- B ---
Compound: MoOs3I
Source: Alexandria via LeMat-Bulk
Functional: PBE-GGA
Structure: relaxed

Cell: 4.7646 4.7646 4.7646 Å, 90.00 90.00 90.00°
With the nearest neighbours (Å) after each atom.
Fractional coordinates of all 5 atoms:
1 Mo 0.0000 0.0000 0.0000  12 Os 3.37
2 Os 0.0000 0.5000 0.5000  2 I 2.38
3 Os 0.5000 0.0000 0.5000  2 I 2.38
4 Os 0.5000 0.5000 0.0000  2 I 2.38
5 I 0.5000 0.5000 0.5000  6 Os 2.38

Symmetry: No. 221
Total magnetization in μB per formula unit: 1.7



A takes first place; second place is 54.8 kJ/mol of atoms up.



--- A ---
Compound: MoOsI3
Source: Alexandria via LeMat-Bulk
Functional: PBE-GGA
Structure: relaxed

Cell: 5.3080 5.3080 5.3080 Å, 90.00 90.00 90.00°
With the nearest neighbours (Å) after each atom.
Fractional coordinates of all 5 atoms:
1 Mo 0.0000 0.0000 0.0000  6 I 2.65
2 Os 0.5000 0.5000 0.5000  12 I 3.75
3 I 0.0000 0.0000 0.5000  2 Mo 2.65
4 I 0.0000 0.5000 0.0000  2 Mo 2.65
5 I 0.5000 0.0000 0.0000  2 Mo 2.65

Symmetry: No. 221
Total magnetization in μB per formula unit: 4.9



--- B ---
Compound: MoOsI3
Source: Alexandria via LeMat-Bulk
Functional: PBE-GGA
Structure: relaxed

Cell: 5.4258 5.4258 5.4258 Å, 90.00 90.00 90.00°
With the nearest neighbours (Å) after each atom.
Fractional coordinates of all 5 atoms:
1 Mo 0.0000 0.0000 0.0000  12 I 3.84
2 Os 0.5000 0.5000 0.5000  6 I 2.71
3 I 0.0000 0.5000 0.5000  2 Os 2.71
4 I 0.5000 0.0000 0.5000  2 Os 2.71
5 I 0.5000 0.5000 0.0000  2 Os 2.71

Symmetry: No. 221
Total magnetization in μB per formula unit: 3.6



B takes first place; second place is 32.7 kJ/mol of atoms up.



--- A ---
Compound: MoOsI2
Source: Alexandria via LeMat-Bulk
Functional: PBE-GGA
Structure: relaxed

Cell: 7.3416 7.3416 7.3416 Å, 131.81 131.81 70.52°
With the nearest neighbours (Å) after each atom.
Fractional coordinates of all 8 atoms:
1 Mo 0.0000 0.0000 0.0000  4 I 2.62
2 Mo 0.7500 0.2500 0.5000  4 I 2.62
3 Os 0.2500 0.7500 0.5000  4 I 2.57
4 Os 0.5000 0.5000 0.0000  4 I 2.57
5 I 0.1327 0.6250 0.0077  2 Os 2.57, 2 Mo 2.62
6 I 0.3750 0.3827 0.5077  2 Os 2.57, 2 Mo 2.62
7 I 0.6173 0.1250 0.9923  2 Os 2.57, 2 Mo 2.62
8 I 0.8750 0.8673 0.4923  2 Os 2.57, 2 Mo 2.62

Symmetry: No. 122
Total magnetization in μB per formula unit: 0.0



--- B ---
Compound: MoOsI2
Source: Alexandria via LeMat-Bulk
Functional: PBE-GGA
Structure: relaxed

Cell: 4.7876 4.7876 4.7876 Å, 60.00 60.00 60.00°
With the nearest neighbours (Å) after each atom.
Fractional coordinates of all 4 atoms:
1 Mo 0.0000 0.0000 0.0000  8 I 2.93
2 Os 0.5000 0.5000 0.5000  8 I 2.93
3 I 0.2500 0.2500 0.2500  4 Mo 2.93, 4 Os 2.93
4 I 0.7500 0.7500 0.7500  4 Os 2.93, 4 Mo 2.93

Symmetry: No. 225
Total magnetization in μB per formula unit: 0.0



B takes first place; second place is 4.2 kJ/mol of atoms up.



--- A ---
Compound: MoOs2I
Source: Alexandria via LeMat-Bulk
Functional: PBE-GGA
Structure: relaxed

Cell: 6.9249 6.9249 6.9249 Å, 129.16 129.16 74.75°
With the nearest neighbours (Å) after each atom.
Fractional coordinates of all 8 atoms:
1 Mo 0.0000 0.0000 0.0000  4 Os 2.43
2 Mo 0.7500 0.2500 0.5000  4 Os 2.43
3 Os 0.1019 0.6250 0.9769  2 Mo 2.43, 2 I 2.60
4 Os 0.3750 0.3519 0.4769  2 Mo 2.43, 2 I 2.60
5 Os 0.6481 0.1250 0.0231  2 Mo 2.43, 2 I 2.60
6 Os 0.8750 0.8981 0.5231  2 Mo 2.43, 2 I 2.60
7 I 0.2500 0.7500 0.5000  4 Os 2.60
8 I 0.5000 0.5000 0.0000  4 Os 2.60

Symmetry: No. 122
Total magnetization in μB per formula unit: 0.0



--- B ---
Compound: MoOs2I
Source: Alexandria via LeMat-Bulk
Functional: PBE-GGA
Structure: relaxed

Cell: 4.5898 4.5898 4.5898 Å, 60.00 60.00 60.00°
With the nearest neighbours (Å) after each atom.
Fractional coordinates of all 4 atoms:
1 Mo 0.0000 0.0000 0.0000  8 Os 2.81
2 Os 0.2500 0.2500 0.2500  4 Mo 2.81, 4 I 2.81
3 Os 0.7500 0.7500 0.7500  4 I 2.81, 4 Mo 2.81
4 I 0.5000 0.5000 0.5000  8 Os 2.81

Symmetry: No. 225
Total magnetization in μB per formula unit: 1.4



A takes first place; second place is 0.5 kJ/mol of atoms up.



--- A ---
Compound: Sb2MoOsI
Source: Alexandria via LeMat-Bulk
Functional: PBE-GGA
Structure: relaxed

Cell: 5.2133 5.2133 5.3191 Å, 90.00 90.00 90.00°
With the nearest neighbours (Å) after each atom.
Fractional coordinates of all 5 atoms:
1 Sb 0.0000 0.5000 0.0000  2 Mo 2.61
2 Sb 0.5000 0.0000 0.0000  2 Mo 2.61
3 Mo 0.0000 0.0000 0.0000  4 Sb 2.61, 2 I 2.66
4 Os 0.5000 0.5000 0.5000  4 I 3.69, 8 Sb 3.72
5 I 0.0000 0.0000 0.5000  2 Mo 2.66

Symmetry: No. 123
Total magnetization in μB per formula unit: 2.6



--- B ---
Compound: Sb2MoOsI
Source: Alexandria via LeMat-Bulk
Functional: PBE-GGA
Structure: relaxed

Cell: 5.0477 5.0477 5.7841 Å, 90.00 90.00 90.00°
With the nearest neighbours (Å) after each atom.
Fractional coordinates of all 5 atoms:
1 Sb 0.0000 0.5000 0.0000  2 Os 2.52
2 Sb 0.5000 0.0000 0.0000  2 Os 2.52
3 Mo 0.0000 0.0000 0.5000  4 I 3.57, 8 Sb 3.84
4 Os 0.5000 0.5000 0.0000  4 Sb 2.52
5 I 0.5000 0.5000 0.5000  2 Os 2.89

Symmetry: No. 123
Total magnetization in μB per formula unit: 4.5



B takes first place; second place is 33.1 kJ/mol of atoms up.